Record 1
This record from Alexandria via LeMat-Bulk describes an optimized crystal structure of Ta7Fe6. The functional is PBE-GGA.

a b c (Å): 9.4678 9.4678 9.4678
angles (deg): 30.26 30.26 30.26
Fractional coordinates of all 13 atoms:
1 Ta 0.0000 0.0000 0.0000
2 Ta 0.1669 0.1669 0.1669
3 Ta 0.3476 0.3476 0.3476
4 Ta 0.4510 0.4510 0.4510
5 Ta 0.5490 0.5490 0.5490
6 Ta 0.6524 0.6524 0.6524
7 Ta 0.8331 0.8331 0.8331
8 Fe 0.0928 0.0928 0.5809
9 Fe 0.0928 0.5809 0.0928
10 Fe 0.4191 0.9072 0.9072
11 Fe 0.5809 0.0928 0.0928
12 Fe 0.9072 0.4190 0.9072
13 Fe 0.9072 0.9072 0.4191

N(E_F), states/eV per cell: 10.8
Formation energy, meV per atom: -188
SG: R-3m (166)
Uncorrected energy, eV/atom: -10.476

=====

Record 2
This record from Alexandria via LeMat-Bulk describes an optimized crystal structure of Ta4Fe5. The functional is PBE-GGA.

a b c (Å): 7.4947 7.4947 5.1454
angles (deg): 90.00 90.00 120.00
Fractional coordinates of all 18 atoms:
1 Ta 0.0000 0.0000 0.0000
2 Ta 0.0000 0.0000 0.5000
3 Ta 0.0000 0.3657 0.2500
4 Ta 0.0000 0.6343 0.7500
5 Ta 0.3657 0.0000 0.2500
6 Ta 0.3657 0.3657 0.7500
7 Ta 0.6343 0.0000 0.7500
8 Ta 0.6343 0.6343 0.2500
9 Fe 0.0000 0.3137 0.7500
10 Fe 0.0000 0.6863 0.2500
11 Fe 0.3137 0.0000 0.7500
12 Fe 0.3137 0.3137 0.2500
13 Fe 0.3333 0.6667 0.0000
14 Fe 0.3333 0.6667 0.5000
15 Fe 0.6667 0.3333 0.0000
16 Fe 0.6667 0.3333 0.5000
17 Fe 0.6863 0.0000 0.2500
18 Fe 0.6863 0.6863 0.7500

N(E_F), states/eV per cell: 15.9
Formation energy, meV per atom: 54
SG: P6_3/mcm (193)
Uncorrected energy, eV/atom: -9.916

=====

Record 3
This record from Alexandria via LeMat-Bulk describes an optimized crystal structure of TaFe. The functional is PBE-GGA.

a b c (Å): 3.8084 3.8084 4.9312
angles (deg): 90.00 90.00 120.00
Fractional coordinates of all 4 atoms:
1 Ta 0.3333 0.6667 0.2500
2 Ta 0.6667 0.3333 0.7500
3 Fe 0.0000 0.0000 0.0000
4 Fe 0.0000 0.0000 0.5000

N(E_F), states/eV per cell: 3.1
Formation energy, meV per atom: 166
SG: P6_3/mmc (194)
Uncorrected energy, eV/atom: -9.992

=====

Record 4
This record from Alexandria via LeMat-Bulk describes an optimized crystal structure of TaFe. The functional is PBE-GGA.

a b c (Å): 6.6620 6.6620 6.6620
angles (deg): 109.47 109.47 109.47
Fractional coordinates of all 8 atoms:
1 Ta 0.0000 0.0000 0.2685
2 Ta 0.0000 0.2685 0.0000
3 Ta 0.2685 0.0000 0.0000
4 Ta 0.7315 0.7315 0.7315
5 Fe 0.0000 0.0000 0.6609
6 Fe 0.0000 0.6609 0.0000
7 Fe 0.3391 0.3391 0.3391
8 Fe 0.6609 0.0000 0.0000

N(E_F), states/eV per cell: 13.8
Formation energy, meV per atom: 1753
SG: I-43m (217)
Uncorrected energy, eV/atom: -8.405

=====

Total moment (computed, μB per cell): 7.005, 0.494, 0.402, 0.401